Below is a geometry-optimized Pm2Mg4Sc structure, with properties calculated at the PBE level.

Formation enthalpy at 0 K   0.46 eV per atom
DOS at the Fermi energy   1.33 states/eV/atom
Polymorph energy (0 for the lowest one)   435 meV per atom
Density   3.10 g/cm³

The structure in POSCAR format:
```
Pm2Mg4Sc
1.0
5.3532 0.0000 0.0000
0.0000 5.3532 0.0000
-2.6766 -2.6766 8.0677
Pm Mg Sc
2 4 1
Direct
0.6116 0.6116 0.2233
0.3884 0.3884 0.7767
0.8213 0.8213 0.6425
0.1787 0.1787 0.3575
0.0000 0.5000 0.0000
0.5000 0.0000 0.0000
0.0000 0.0000 0.0000
```

***

Below is a geometry-optimized PmMg6Sc3 structure, with properties calculated at the PBE level.

Formation enthalpy at 0 K   -0.04 eV per atom
DOS at the Fermi energy   1.03 states/eV/atom
Density   2.92 g/cm³

The structure in POSCAR format:
```
PmMg6Sc3
1.0
-4.7384 1.0916 -1.6764
0.7134 -6.4268 -6.2011
-4.2445 -4.8015 8.8705
Pm Mg Sc
2 12 6
Direct
0.2500 0.9453 0.6037
0.7500 0.0547 0.3963
0.2500 0.4514 0.1000
0.7500 0.5486 0.9000
0.2500 0.1532 0.2016
0.7500 0.8468 0.7984
0.2500 0.6402 0.7007
0.7500 0.3598 0.2993
0.2500 0.2661 0.5058
0.7500 0.7339 0.4942
0.2500 0.8372 0.2866
0.7500 0.1628 0.7134
0.2500 0.0571 0.9097
0.7500 0.9429 0.0903
0.2500 0.5455 0.3936
0.7500 0.4545 0.6064
0.2500 0.3531 0.8048
0.7500 0.6469 0.1952
0.2500 0.7456 0.9955
0.7500 0.2544 0.0045
```